Record 1
BaLaMn3, relaxed, DFT GGA-PBE; volume = 30.975 A^3/atom; space group = Pm-3m (221); DFT total energy = -5.4175 eV per atom; energy of formation from the pure elements = 1454 meV/atom; D(E_F) = 5.5 states/eV/cell
1.0
5.3702 0.0000 0.0000
0.0000 5.3702 0.0000
0.0000 0.0000 5.3702
Ba La Mn
1 1 3
Direct
0.0000 0.0000 0.0000 Ba
0.5000 0.5000 0.5000 La
0.0000 0.0000 0.5000 Mn
0.0000 0.5000 0.0000 Mn
0.5000 0.0000 0.0000 Mn


Record 2
BaLaMn3, relaxed, DFT GGA-PBE; volume = 31.630 A^3/atom; space group = Pm-3m (221); DFT total energy = -5.8279 eV per atom; energy of formation from the pure elements = 1044 meV/atom; D(E_F) = 3.4 states/eV/cell
1.0
5.4079 0.0000 0.0000
0.0000 5.4079 0.0000
0.0000 0.0000 5.4079
Ba La Mn
1 1 3
Direct
0.0000 0.0000 0.0000 Ba
0.5000 0.5000 0.5000 La
0.0000 0.5000 0.5000 Mn
0.5000 0.0000 0.5000 Mn
0.5000 0.5000 0.0000 Mn


Record 3
BaLa2Mn, relaxed, DFT GGA-PBE; volume = 34.039 A^3/atom; space group = F-43m (216); DFT total energy = -4.7458 eV per atom; energy of formation from the pure elements = 491 meV/atom; D(E_F) = 5.9 states/eV/cell
1.0
0.0000 4.0832 4.0832
4.0832 0.0000 4.0832
4.0832 4.0832 0.0000
Ba La Mn
1 2 1
Direct
0.0000 0.0000 0.0000 Ba
0.5000 0.5000 0.5000 La
0.7500 0.7500 0.7500 La
0.2500 0.2500 0.2500 Mn


Record 4
BaLa2Mn, relaxed, DFT GGA-PBE; volume = 35.148 A^3/atom; space group = C2/m (12); DFT total energy = -4.7248 eV per atom; energy of formation from the pure elements = 512 meV/atom; D(E_F) = 6.6 states/eV/cell
1.0
3.4760 -6.1701 0.0000
3.4760 6.1701 0.0000
-1.7147 0.0000 3.2777
Ba La Mn
1 2 1
Direct
0.0000 0.0000 0.0000 Ba
0.0000 0.5000 0.5000 La
0.5000 0.0000 0.5000 La
0.5000 0.5000 0.0000 Mn


Record 5
BaLa2Mn, relaxed, DFT GGA-PBE; volume = 36.372 A^3/atom; space group = P4/mmm (123); DFT total energy = -5.0109 eV per atom; energy of formation from the pure elements = 226 meV/atom; D(E_F) = 6.3 states/eV/cell
1.0
3.7954 0.0000 0.0000
0.0000 3.7954 0.0000
0.0000 0.0000 10.1001
Ba La Mn
1 2 1
Direct
0.0000 0.0000 0.0000 Ba
0.5000 0.5000 0.3290 La
0.5000 0.5000 0.6710 La
0.0000 0.0000 0.5000 Mn


Record 6
BaLa2Mn2, relaxed, DFT GGA-PBE; volume = 31.819 A^3/atom; space group = I4/mmm (139); DFT total energy = -5.4737 eV per atom; energy of formation from the pure elements = 550 meV/atom; D(E_F) = 5.5 states/eV/cell
1.0
-2.5605 2.5605 6.0664
2.5605 -2.5605 6.0664
2.5605 2.5605 -6.0664
Ba La Mn
1 2 2
Direct
0.0000 0.0000 0.0000 Ba
0.3496 0.3496 0.0000 La
0.6504 0.6504 0.0000 La
0.2500 0.7500 0.5000 Mn
0.7500 0.2500 0.5000 Mn